1.
{"formula": "Tl2Se2Br", "functional": "PBE", "state": "optimized geometry", "de_polymorph_ev_per_atom": 0.0000, "dos_at_fermi_per_ev_fu": 1.1, "lattice_angstrom": [[4.003, 0.000, 0.000], [0.000, 4.003, 0.000], [2.001, 2.001, 9.453]], "species": ["Tl", "Tl", "Se", "Se", "Br"], "fractional_positions": [[0.395, 0.395, 0.209], [0.605, 0.605, 0.791], [0.750, 0.250, 0.500], [0.250, 0.750, 0.500], [0.000, 0.000, 0.000]]}

2.
{"formula": "TlSeBr2", "functional": "PBE", "state": "optimized geometry", "de_polymorph_ev_per_atom": 0.5728, "dos_at_fermi_per_ev_fu": 3.3, "lattice_angstrom": [[2.047, 0.000, 10.531], [-1.023, 1.772, 10.531], [-1.023, -1.772, 10.531]], "species": ["Tl", "Br", "Br", "Se"], "fractional_positions": [[0.000, 0.000, 0.000], [0.904, 0.904, 0.904], [0.096, 0.096, 0.096], [0.500, 0.500, 0.500]]}

3.
{"formula": "Tl3Se5Br12", "functional": "PBE", "state": "optimized geometry", "dos_at_fermi_per_ev_fu": 5.5, "lattice_angstrom": [[-2.630, -15.350, 4.648], [-1.647, 1.134, -16.129], [15.050, 4.440, 4.234]], "species": ["Br", "Br", "Br", "Br", "Br", "Br", "Br", "Br", "Br", "Br", "Br", "Br", "Br", "Br", "Br", "Br", "Br", "Br", "Br", "Br", "Br", "Br", "Br", "Br", "Br", "Br", "Br", "Br", "Br", "Br", "Br", "Br", "Br", "Br", "Br", "Br", "Br", "Br", "Br", "Br", "Br", "Br", "Br", "Br", "Br", "Br", "Br", "Br", "Se", "Se", "Se", "Se", "Se", "Se", "Se", "Se", "Se", "Se", "Se", "Se", "Se", "Se", "Se", "Se", "Se", "Se", "Se", "Se", "Tl", "Tl", "Tl", "Tl", "Tl", "Tl", "Tl", "Tl", "Tl", "Tl", "Tl", "Tl"], "fractional_positions": [[0.831, 0.320, 0.934], [0.113, 0.934, 0.103], [0.511, 0.680, 0.113], [0.103, 0.669, 0.489], [0.566, 0.669, 0.680], [0.680, 0.169, 0.566], [0.169, 0.680, 0.066], [0.331, 0.434, 0.820], [0.066, 0.887, 0.397], [0.387, 0.989, 0.320], [0.489, 0.320, 0.887], [0.831, 0.511, 0.397], [0.103, 0.434, 0.113], [0.511, 0.831, 0.897], [0.180, 0.066, 0.669], [0.989, 0.603, 0.669], [0.989, 0.387, 0.820], [0.113, 0.180, 0.511], [0.397, 0.011, 0.831], [0.613, 0.603, 0.434], [0.680, 0.511, 0.613], [0.397, 0.387, 0.066], [0.897, 0.331, 0.511], [0.669, 0.566, 0.180], [0.603, 0.989, 0.169], [0.320, 0.831, 0.434], [0.887, 0.066, 0.897], [0.669, 0.103, 0.989], [0.387, 0.397, 0.566], [0.820, 0.934, 0.331], [0.566, 0.897, 0.387], [0.331, 0.897, 0.011], [0.011, 0.613, 0.180], [0.180, 0.113, 0.011], [0.887, 0.820, 0.489], [0.066, 0.180, 0.169], [0.613, 0.011, 0.680], [0.434, 0.103, 0.613], [0.603, 0.613, 0.934], [0.897, 0.566, 0.887], [0.169, 0.489, 0.603], [0.489, 0.169, 0.103], [0.820, 0.887, 0.989], [0.434, 0.331, 0.320], [0.320, 0.489, 0.387], [0.934, 0.113, 0.603], [0.011, 0.397, 0.331], [0.934, 0.820, 0.831], [0.375, 0.250, 0.125], [0.125, 0.750, 0.375], [0.625, 0.875, 0.250], [0.750, 0.625, 0.375], [0.500, 0.500, 0.500], [0.875, 0.250, 0.625], [0.000, 0.000, 0.000], [0.000, 0.000, 0.500], [0.125, 0.375, 0.250], [0.375, 0.125, 0.750], [0.000, 0.500, 0.500], [0.250, 0.375, 0.625], [0.500, 0.500, 0.000], [0.625, 0.750, 0.875], [0.500, 0.000, 0.500], [0.000, 0.500, 0.000], [0.500, 0.000, 0.000], [0.750, 0.125, 0.875], [0.875, 0.625, 0.750], [0.250, 0.875, 0.125], [0.875, 0.125, 0.250], [0.250, 0.125, 0.375], [0.375, 0.625, 0.250], [0.625, 0.250, 0.375], [0.625, 0.375, 0.750], [0.125, 0.875, 0.750], [0.875, 0.750, 0.125], [0.750, 0.875, 0.625], [0.750, 0.375, 0.125], [0.125, 0.250, 0.875], [0.250, 0.625, 0.875], [0.375, 0.750, 0.625]]}

4.
{"formula": "Tl2SeBr5", "functional": "PBE", "state": "optimized geometry", "de_polymorph_ev_per_atom": 0.0402, "lattice_angstrom": [[8.175, -0.020, 0.102], [-0.024, 8.254, -0.131], [-4.013, -4.214, 4.749]], "species": ["Tl", "Tl", "Br", "Br", "Br", "Br", "Br", "Se"], "fractional_positions": [[0.344, 0.765, 0.511], [0.747, 0.165, 0.513], [0.773, 0.796, 0.017], [0.667, 0.724, 0.389], [0.231, 0.244, 0.027], [0.797, 0.265, 0.061], [0.221, 0.799, 0.021], [0.997, 0.019, 0.015]]}

5.
{"formula": "Tl4SeBr2", "functional": "PBE", "state": "optimized geometry", "de_polymorph_ev_per_atom": 0.1650, "dos_at_fermi_per_ev_fu": 1.4, "lattice_angstrom": [[-2.457, -5.447, -1.573], [5.282, -1.576, -2.793], [1.402, 0.158, 9.398]], "species": ["Tl", "Tl", "Tl", "Tl", "Br", "Br", "Se"], "fractional_positions": [[0.500, 0.000, 0.000], [0.176, 0.176, 0.351], [0.824, 0.824, 0.649], [0.000, 0.500, 0.000], [0.376, 0.376, 0.752], [0.624, 0.624, 0.248], [0.000, 0.000, 0.000]]}

6.
{"formula": "TlSeBr2", "functional": "PBE", "state": "optimized geometry", "de_polymorph_ev_per_atom": 0.1473, "dos_at_fermi_per_ev_fu": 1.3, "lattice_angstrom": [[-1.338, -2.931, -0.891], [5.137, -1.585, -2.500], [2.228, -2.984, 6.470]], "species": ["Tl", "Se", "Br", "Br"], "fractional_positions": [[0.500, 0.500, 0.668], [0.000, 0.000, 0.627], [0.500, 0.500, 0.269], [0.000, 0.000, 0.937]]}

7.
{"formula": "TlSe2Br2", "functional": "PBE", "state": "optimized geometry", "de_polymorph_ev_per_atom": 0.0406, "dos_at_fermi_per_ev_fu": 1.2, "lattice_angstrom": [[8.584, 0.000, 0.000], [0.000, 8.584, 0.000], [0.000, 0.000, 4.618]], "species": ["Br", "Br", "Br", "Br", "Se", "Se", "Se", "Se", "Tl", "Tl"], "fractional_positions": [[0.246, 0.746, 0.500], [0.254, 0.246, 0.500], [0.746, 0.754, 0.500], [0.754, 0.254, 0.500], [0.090, 0.410, 0.000], [0.590, 0.090, 0.000], [0.410, 0.910, 0.000], [0.910, 0.590, 0.000], [0.000, 0.000, 0.000], [0.500, 0.500, 0.000]]}

8.
{"formula": "Tl5Se2Br", "functional": "PBE", "state": "optimized geometry", "de_polymorph_ev_per_atom": 0.0994, "lattice_angstrom": [[6.561, 0.000, 0.000], [-3.281, 6.632, 0.000], [0.000, 0.000, 14.132]], "species": ["Tl", "Tl", "Tl", "Tl", "Tl", "Tl", "Tl", "Tl", "Tl", "Tl", "Br", "Br", "Se", "Se", "Se", "Se"], "fractional_positions": [[0.639, 0.279, 0.966], [0.274, 0.549, 0.750], [0.361, 0.721, 0.466], [0.059, 0.117, 0.375], [0.059, 0.117, 0.125], [0.941, 0.883, 0.625], [0.361, 0.721, 0.034], [0.941, 0.883, 0.875], [0.639, 0.279, 0.534], [0.726, 0.451, 0.250], [0.699, 0.397, 0.750], [0.301, 0.603, 0.250], [0.157, 0.314, 0.567], [0.157, 0.314, 0.933], [0.843, 0.686, 0.067], [0.843, 0.686, 0.433]]}

9.
{"formula": "TlSeBr2", "functional": "PBE", "state": "optimized geometry", "de_polymorph_ev_per_atom": 0.3423, "dos_at_fermi_per_ev_fu": 0.7, "lattice_angstrom": [[0.000, 3.949, 3.949], [3.949, 0.000, 3.949], [3.949, 3.949, 0.000]], "species": ["Tl", "Br", "Br", "Se"], "fractional_positions": [[0.500, 0.500, 0.500], [0.750, 0.750, 0.750], [0.250, 0.250, 0.250], [0.000, 0.000, 0.000]]}

10.
{"formula": "TlSeBr2", "functional": "PBE", "state": "optimized geometry", "de_polymorph_ev_per_atom": 0.1947, "dos_at_fermi_per_ev_fu": 2.9, "lattice_angstrom": [[-3.542, -6.675, -2.036], [0.758, -7.536, 1.970], [-0.575, 7.481, 2.226]], "species": ["Se", "Tl", "Br", "Br"], "fractional_positions": [[0.500, 0.500, 0.000], [0.750, 0.250, 0.500], [0.250, 0.750, 0.500], [0.000, 0.000, 0.000]]}

11.
{"formula": "TlSe2Br6", "functional": "PBE", "state": "optimized geometry", "dos_at_fermi_per_ev_fu": 1.7, "lattice_angstrom": [[6.685, 1.295, 2.689], [2.686, 10.903, 2.899], [1.016, 1.877, 11.399]], "species": ["Se", "Se", "Se", "Se", "Tl", "Tl", "Br", "Br", "Br", "Br", "Br", "Br", "Br", "Br", "Br", "Br", "Br", "Br"], "fractional_positions": [[0.485, 0.269, 0.274], [0.515, 0.731, 0.726], [0.015, 0.726, 0.731], [0.985, 0.274, 0.269], [0.250, 0.111, 0.889], [0.750, 0.889, 0.111], [0.383, 0.502, 0.182], [0.883, 0.182, 0.502], [0.820, 0.515, 0.252], [0.680, 0.748, 0.485], [0.291, 0.805, 0.974], [0.180, 0.485, 0.748], [0.117, 0.818, 0.498], [0.617, 0.498, 0.818], [0.209, 0.026, 0.195], [0.709, 0.195, 0.026], [0.320, 0.252, 0.515], [0.791, 0.974, 0.805]]}

12.
{"formula": "Tl2Se2Br", "functional": "PBE", "state": "optimized geometry", "de_polymorph_ev_per_atom": 0.3222, "dos_at_fermi_per_ev_fu": 3.8, "lattice_angstrom": [[8.400, 0.000, 0.000], [0.000, 8.400, 0.000], [0.000, 0.000, 3.804]], "species": ["Se", "Se", "Se", "Se", "Tl", "Tl", "Tl", "Tl", "Br", "Br"], "fractional_positions": [[0.863, 0.363, 0.500], [0.637, 0.863, 0.500], [0.137, 0.637, 0.500], [0.363, 0.137, 0.500], [0.830, 0.670, 0.000], [0.670, 0.170, 0.000], [0.330, 0.830, 0.000], [0.170, 0.330, 0.000], [0.000, 0.000, 0.000], [0.500, 0.500, 0.000]]}

13.
{"formula": "TlSeBr3", "functional": "PBE", "state": "optimized geometry", "de_polymorph_ev_per_atom": 0.0011, "lattice_angstrom": [[4.891, 0.000, 0.000], [0.000, 10.839, -7.474], [0.000, -4.533, 18.932]], "species": ["Br", "Br", "Br", "Br", "Br", "Br", "Br", "Br", "Br", "Br", "Br", "Br", "Se", "Se", "Se", "Se", "Tl", "Tl", "Tl", "Tl"], "fractional_positions": [[0.356, 0.931, 0.833], [0.771, 0.299, 0.387], [0.856, 0.069, 0.667], [0.144, 0.931, 0.333], [0.271, 0.701, 0.113], [0.229, 0.701, 0.613], [0.227, 0.344, 0.108], [0.773, 0.656, 0.892], [0.729, 0.299, 0.887], [0.644, 0.069, 0.167], [0.727, 0.656, 0.392], [0.273, 0.344, 0.608], [0.997, 0.101, 0.509], [0.503, 0.101, 0.009], [0.003, 0.899, 0.491], [0.497, 0.899, 0.991], [0.256, 0.444, 0.373], [0.244, 0.444, 0.873], [0.744, 0.556, 0.627], [0.756, 0.556, 0.127]]}

14.
{"formula": "Tl3SeBr", "functional": "PBE", "state": "optimized geometry", "dos_at_fermi_per_ev_fu": 0.5, "lattice_angstrom": [[-3.110, 4.451, 2.991], [0.332, -3.291, 5.243], [5.352, 2.791, 1.413]], "species": ["Tl", "Tl", "Tl", "Br", "Se"], "fractional_positions": [[0.500, 0.000, 0.000], [0.000, 0.500, 0.000], [0.000, 0.000, 0.500], [0.500, 0.500, 0.500], [0.000, 0.000, 0.000]]}

15.
{"formula": "TlSeBr2", "functional": "PBE", "state": "optimized geometry", "de_polymorph_ev_per_atom": 0.0927, "dos_at_fermi_per_ev_fu": 4.5, "lattice_angstrom": [[-8.663, 0.532, -2.648], [-8.313, 3.360, 1.394], [-6.864, 5.125, -2.993]], "species": ["Br", "Br", "Se", "Tl"], "fractional_positions": [[0.901, 0.901, 0.901], [0.099, 0.099, 0.099], [0.000, 0.000, 0.000], [0.500, 0.500, 0.500]]}

16.
{"formula": "Tl4SeBr", "functional": "PBE", "state": "optimized geometry", "de_polymorph_ev_per_atom": 0.0000, "dos_at_fermi_per_ev_fu": 1.5, "lattice_angstrom": [[-2.282, 1.389, 7.278], [-3.879, -5.602, -3.780], [8.307, -3.316, 0.924]], "species": ["Tl", "Tl", "Tl", "Tl", "Tl", "Tl", "Tl", "Tl", "Se", "Se", "Br", "Br"], "fractional_positions": [[0.404, 0.679, 0.873], [0.301, 0.917, 0.567], [0.766, 0.650, 0.567], [0.969, 0.194, 0.873], [0.596, 0.321, 0.127], [0.234, 0.350, 0.433], [0.699, 0.083, 0.433], [0.031, 0.806, 0.127], [0.815, 0.065, 0.130], [0.185, 0.935, 0.870], [0.355, 0.605, 0.211], [0.645, 0.395, 0.789]]}

17.
{"formula": "TlSeBr2", "functional": "PBE", "state": "optimized geometry", "de_polymorph_ev_per_atom": 0.0000, "dos_at_fermi_per_ev_fu": 1.7, "lattice_angstrom": [[5.720, 0.000, 0.000], [0.000, 5.577, -0.323], [0.000, 3.621, 4.248]], "species": ["Tl", "Br", "Br", "Se"], "fractional_positions": [[0.500, 0.625, 0.624], [0.500, 0.294, 0.294], [0.000, 0.005, 0.006], [0.000, 0.575, 0.576]]}

18.
{"formula": "TlSeBr6", "functional": "PBE", "state": "optimized geometry", "dos_at_fermi_per_ev_fu": 5.5, "lattice_angstrom": [[-0.142, 2.122, -6.680], [3.188, -3.803, -4.952], [-4.376, -3.862, -4.808]], "species": ["Tl", "Br", "Br", "Br", "Br", "Br", "Br", "Se"], "fractional_positions": [[0.500, 0.500, 0.500], [0.219, 0.940, 0.233], [0.392, 0.781, 0.767], [0.060, 0.392, 0.767], [0.608, 0.219, 0.233], [0.940, 0.608, 0.233], [0.781, 0.060, 0.767], [0.000, 0.000, 0.000]]}

19.
{"formula": "TlSeBr2", "functional": "PBE", "state": "optimized geometry", "de_polymorph_ev_per_atom": 0.1077, "dos_at_fermi_per_ev_fu": 2.0, "lattice_angstrom": [[-2.552, 0.744, -2.884], [0.392, -3.681, -1.297], [-7.042, -2.700, 5.535]], "species": ["Se", "Br", "Br", "Tl"], "fractional_positions": [[0.000, 0.000, 0.388], [0.000, 0.000, 0.953], [0.500, 0.500, 0.367], [0.500, 0.500, 0.792]]}

20.
{"formula": "Tl4SeBr", "functional": "PBE", "state": "optimized geometry", "de_polymorph_ev_per_atom": 0.2578, "dos_at_fermi_per_ev_fu": 2.4, "lattice_angstrom": [[0.000, 4.575, 4.575], [4.575, 0.000, 4.575], [4.575, 4.575, 0.000]], "species": ["Tl", "Tl", "Tl", "Tl", "Br", "Se"], "fractional_positions": [[0.877, 0.374, 0.374], [0.374, 0.877, 0.374], [0.374, 0.374, 0.877], [0.374, 0.374, 0.374], [0.750, 0.750, 0.750], [0.000, 0.000, 0.000]]}

21.
{"formula": "TlSeBr3", "functional": "PBE", "state": "optimized geometry", "de_polymorph_ev_per_atom": 0.0201, "dos_at_fermi_per_ev_fu": 1.0, "lattice_angstrom": [[5.485, 0.000, 0.000], [0.000, 5.485, 0.000], [0.000, 0.000, 5.485]], "species": ["Br", "Br", "Br", "Tl", "Se"], "fractional_positions": [[0.000, 0.500, 0.000], [0.000, 0.000, 0.500], [0.500, 0.000, 0.000], [0.500, 0.500, 0.500], [0.000, 0.000, 0.000]]}

Number 1: ΔE_f (raw) -199 kJ/mol of formula units, raw total energy -15.4 eV per cell. Number 2: ΔE_f (raw) 113 kJ/mol of formula units, raw total energy -8.0 eV per cell. Number 3: ΔE_f (raw) -166 kJ/mol of formula units, raw total energy -185.3 eV per cell. Number 4: ΔE_f (raw) -336 kJ/mol of formula units, raw total energy -20.1 eV per cell. Number 5: ΔE_f (raw) -293 kJ/mol of formula units, raw total energy -19.3 eV per cell. Number 6: ΔE_f (raw) -51 kJ/mol of formula units, raw total energy -9.7 eV per cell. Number 7: ΔE_f (raw) -55 kJ/mol of formula units, raw total energy -26.5 eV per cell. Number 8: ΔE_f (raw) -303 kJ/mol of formula units, raw total energy -47.2 eV per cell. Number 9: ΔE_f (raw) 24 kJ/mol of formula units, raw total energy -8.9 eV per cell. Number 10: ΔE_f (raw) -33 kJ/mol of formula units, raw total energy -9.5 eV per cell. Number 11: ΔE_f (raw) -194 kJ/mol of formula units, raw total energy -42.8 eV per cell. Number 12: ΔE_f (raw) -43 kJ/mol of formula units, raw total energy -27.7 eV per cell. Number 13: ΔE_f (raw) -171 kJ/mol of formula units, raw total energy -50.6 eV per cell. Number 14: ΔE_f (raw) -123 kJ/mol of formula units, raw total energy -13.5 eV per cell. Number 15: ΔE_f (raw) -72 kJ/mol of formula units, raw total energy -9.9 eV per cell. Number 16: ΔE_f (raw) -209 kJ/mol of formula units, raw total energy -33.6 eV per cell. Number 17: ΔE_f (raw) -108 kJ/mol of formula units, raw total energy -10.3 eV per cell. Number 18: ΔE_f (raw) -158 kJ/mol of formula units, raw total energy -17.5 eV per cell. Number 19: ΔE_f (raw) -66 kJ/mol of formula units, raw total energy -9.9 eV per cell. Number 20: ΔE_f (raw) -60 kJ/mol of formula units, raw total energy -15.2 eV per cell. Number 21: ΔE_f (raw) -162 kJ/mol of formula units, raw total energy -12.5 eV per cell.